(1)
PBE Pa3H2, relaxed; magnetic moment = 0.00 μB/f.u.; DFT total energy = -7.180 eV per atom; N(E_F) = 1.38 states/eV per atom
1.0
5.535 0.000 0.000
2.767 4.793 0.000
2.767 1.598 6.138
H Pa
4 6
Cartesian
8.302 4.793 3.074
2.767 1.598 0.005
2.767 1.598 3.064
8.302 4.793 6.133
4.636 4.793 4.603
7.368 3.175 4.603
4.601 1.618 4.603
3.702 3.216 1.534
6.469 4.773 1.534
6.434 1.598 1.534


(2)
PBE ScRe2Ni, relaxed; magnetic moment = 0.00 μB/f.u.; N(E_F) = 1.41 states/eV per atom; polymorph energy (0 for the lowest one) = 547 meV per atom
1.0
-1.463 -1.388 -7.297
5.450 -5.254 -0.093
0.422 -4.962 -3.068
Sc Re Ni
2 4 2
Cartesian
1.993 -3.321 -3.695
3.933 -6.769 -3.428
-0.222 -2.855 -5.811
3.423 -4.608 -1.266
1.460 -5.873 -5.066
4.157 -9.873 -8.774
0.000 0.000 0.000
0.476 -4.836 -7.030


(3)
PBE BaUS2F, relaxed; magnetic moment = 2.82 μB/f.u.; N(E_F) = 0.96 states/eV per atom; formation energy (no corrections) = -11.16 eV per formula unit
1.0
-1.694 3.673 -0.313
-1.341 -0.935 -3.713
-12.140 -5.117 5.673
Ba U S F
2 2 4 2
Cartesian
-8.341 -1.323 3.346
-5.316 -2.426 0.314
-2.082 1.316 0.420
-11.576 -5.064 3.240
-9.416 -4.154 2.230
-1.805 -0.946 -1.326
-11.852 -2.802 4.986
-4.242 0.406 1.430
-6.070 -2.559 2.836
-7.588 -1.190 0.823